[1]
Ca7ReN6 | Alexandria via LeMat-Bulk | PBE-GGA | relaxed; total moment = 0.6 μB per cell; final energy = -6.22 eV per atom; E_form (uncorrected) = -759 meV/atom
1.0
6.461 0.000 0.000
3.230 8.469 0.023
3.230 0.496 8.455
Ca Re N
14 2 12
Cartesian
4.982 8.144 0.366
7.939 0.821 8.111
4.709 4.158 4.582
8.213 4.807 3.895
7.298 1.561 5.034
5.623 5.114 1.277
8.853 7.838 2.984
4.068 3.418 7.659
5.623 7.404 3.443
7.298 3.851 7.200
4.068 1.127 5.493
8.853 5.547 0.818
3.230 2.241 2.119
9.691 6.724 6.358
6.461 2.241 2.119
6.461 6.724 6.358
1.275 0.856 2.591
5.185 2.635 0.710
5.185 1.847 3.529
7.736 3.626 1.647
11.646 8.109 5.886
7.736 6.330 7.767
7.736 7.118 4.949
5.185 5.339 6.830
9.068 3.243 5.550
3.854 5.723 2.927
7.084 7.229 1.334
5.837 1.736 7.143



[2]
Ca3ReN3 | Alexandria via LeMat-Bulk | PBE-GGA | relaxed; total moment = 0.0 μB per cell; energy above the lowest structure with this stoichiometry = 0 kJ/mol of formula units; final energy = -7.03 eV per atom; E_form (uncorrected) = -830 meV/atom
1.0
5.103 0.000 0.000
0.000 6.591 -1.235
0.000 0.021 6.706
Ca Re N
6 2 6
Cartesian
3.827 3.949 4.825
3.827 0.719 5.862
3.827 1.134 2.494
1.276 2.663 0.645
1.276 5.893 -0.391
1.276 5.478 2.977
1.276 2.073 4.225
3.827 4.539 1.246
1.276 3.843 4.862
1.276 0.851 5.702
1.276 1.117 2.605
3.827 2.769 0.608
3.827 5.761 -0.231
3.827 5.495 2.866



[3]
Ca3Re2N6 | Alexandria via LeMat-Bulk | PBE-GGA | relaxed; total moment = 0.0 μB per cell; final energy = -7.98 eV per atom; E_form (uncorrected) = -631 meV/atom
1.0
3.898 0.000 0.000
0.000 3.898 0.000
-1.949 -1.949 9.703
Ca Re N
3 2 6
Cartesian
0.000 0.000 0.000
1.949 1.949 6.220
0.000 0.000 3.483
0.000 0.000 7.706
1.949 1.949 1.996
0.000 1.949 1.656
1.949 0.000 1.656
1.949 0.000 8.047
0.000 1.949 8.047
1.949 1.949 3.822
0.000 0.000 5.881



[4]
Ca4ReN4 | Alexandria via LeMat-Bulk | PBE-GGA | relaxed; total moment = 0.0 μB per cell; energy above the lowest structure with this stoichiometry = 0 kJ/mol of formula units; final energy = -6.73 eV per atom; E_form (uncorrected) = -760 meV/atom
1.0
6.098 -0.002 -0.003
2.124 5.650 0.001
1.987 3.176 8.130
Ca Re N
8 2 8
Cartesian
6.264 4.035 1.269
3.945 4.789 6.858
6.940 4.510 8.039
3.270 4.314 0.088
6.617 4.437 4.718
3.592 4.388 3.408
4.591 7.355 5.040
5.618 1.469 3.087
7.671 7.171 6.143
2.538 1.653 1.983
8.590 5.801 5.123
1.620 3.023 3.004
9.185 7.911 7.064
1.024 0.913 1.062
5.969 5.991 6.390
4.240 2.833 1.736
5.619 5.849 2.764
4.591 2.975 5.363



Please write out number 2 again, unchanged.
Ca3ReN3 | Alexandria via LeMat-Bulk | PBE-GGA | relaxed; total moment = 0.0 μB per cell; energy above the lowest structure with this stoichiometry = 0 kJ/mol of formula units; final energy = -7.03 eV per atom; E_form (uncorrected) = -830 meV/atom
1.0
5.103 0.000 0.000
0.000 6.591 -1.235
0.000 0.021 6.706
Ca Re N
6 2 6
Cartesian
3.827 3.949 4.825
3.827 0.719 5.862
3.827 1.134 2.494
1.276 2.663 0.645
1.276 5.893 -0.391
1.276 5.478 2.977
1.276 2.073 4.225
3.827 4.539 1.246
1.276 3.843 4.862
1.276 0.851 5.702
1.276 1.117 2.605
3.827 2.769 0.608
3.827 5.761 -0.231
3.827 5.495 2.866